Compound: BeCr2RuF
Source: Alexandria
Functional: PBE+U
Structure: optimized geometry

The structure belongs to space group P4/mmm (No. 123); the cell edges are 5.051, 5.051 and 2.977 Å and the angles 90.00°, 90.00° and 90.00°. The distinct sites, in fractional coordinates, are Be at (0.000, 0.000, 0.000), Cr at (0.000, 0.500, 0.000), Ru at (0.500, 0.500, 0.500) and F at (0.000, 0.000, 0.500).

Its density is 5.09 g/cm³. For the total energy, the calculation gives -5.699 eV per atom.